No. 1
VASP calculation (PBE) on a relaxed structure of BaCdCu2.

The structure belongs to space group P4mm (No. 99); the cell edges are 3.471, 3.471 and 7.554 Å and the angles 90.00°, 90.00° and 90.00°. The distinct sites, in fractional coordinates, are Ba at (0.000, 0.000, 0.000), Cd at (0.500, 0.500, 0.353), Cu at (0.000, 0.000, 0.571) and Cu at (0.500, 0.500, 0.698).

As for the calculated formation energy: 109 meV per atom. The total magnetization is 0.000 μB per atom.

---

No. 2
VASP calculation (PBE) on a relaxed structure of ZnIrAu2.

The structure belongs to space group I4/mmm (No. 139); the cell edges are 4.082, 4.082 and 7.814 Å and the angles 90.00°, 90.00° and 90.00°. The distinct sites, in fractional coordinates, are Zn at (0.000, 0.000, 0.000), Ir at (0.000, 0.000, 0.500) and Au at (0.000, 0.500, 0.250).

As for the calculated formation energy: 159 meV per atom. The total magnetization is 0.000 μB per atom.

---

No. 3
VASP calculation (PBE) on a relaxed structure of DyY4Al2.

The structure belongs to space group R-3m (No. 166, hexagonal axes); the cell edges are 5.0364, 5.0364 and 30.1646 Å and the angles 90.00°, 90.00° and 120.00°. The distinct sites, in fractional coordinates, are Dy at (0.0000, 0.0000, 0.0000), Y at (0.0000, 0.0000, 0.2026), Y at (0.0000, 0.0000, 0.3968) and Al at (0.0000, 0.0000, 0.0996).

As for the calculated formation energy: 77 meV per atom. The total magnetization is 0.000 μB per atom. The energy above the most stable polymorph in this dataset comes out at 288 meV per atom.

---

No. 4
VASP calculation (PBE) on a relaxed structure of LaTbZnRu.

The structure belongs to space group F-43m (No. 216); the cell edges are 7.147, 7.147 and 7.147 Å and the angles 90.00°, 90.00° and 90.00°. The distinct sites, in fractional coordinates, are La at (0.000, 0.000, 0.000), Tb at (0.000, 0.000, 0.500), Zn at (0.250, 0.250, 0.750) and Ru at (0.250, 0.250, 0.250).

As for the calculated formation energy: -266 meV per atom. The total magnetization is 0.000 μB per atom. The energy above the most stable polymorph in this dataset comes out at 31 meV per atom.

---

No. 5
VASP calculation (PBE) on a relaxed structure of VTeH.

The structure belongs to space group P2_1/m (No. 11); the cell edges are 4.246, 3.429 and 7.040 Å and the angles 90.00°, 93.02° and 90.00°. The distinct sites, in fractional coordinates, are V at (0.231, 0.250, 0.017), Te at (0.282, 0.750, 0.723) and H at (0.150, 0.750, 0.113).

The uncorrected energy is -32.69 eV per cell. The total magnetization is 0.000 μB per atom.

---

No. 6
VASP calculation (PBE) on a relaxed structure of Pa2SiAu.

The structure belongs to space group P4/mmm (No. 123); the cell edges are 4.460, 4.460 and 4.305 Å and the angles 90.00°, 90.00° and 90.00°. The distinct sites, in fractional coordinates, are Pa at (0.000, 0.500, 0.000), Si at (0.000, 0.000, 0.500) and Au at (0.500, 0.500, 0.500).

The total magnetization is 0.001 μB per atom. The formation energy without anion corrections comes out at -0.2521 eV per atom. The energy above the most stable polymorph in this dataset comes out at 73 meV per atom.

---

No. 7
VASP calculation (PBE) on a relaxed structure of Pm6As5P.

The structure belongs to space group C2/m (No. 12); the cell edges are 7.314, 12.662 and 7.311 Å and the angles 90.00°, 109.49° and 90.00°. The distinct sites, in fractional coordinates, are Pm at (0.247, 0.000, 0.252), Pm at (0.247, 0.165, 0.748), As at (0.000, 0.168, 0.000), As at (0.000, 0.333, 0.500), As at (0.000, 0.500, 0.000) and P at (0.000, 0.000, 0.500).

As for the calculated formation energy: -1532 meV per atom. The total magnetization is 0.000 μB per atom.

---

No. 8
VASP calculation (PBE) on a relaxed structure of LaSmCuAu.

The structure belongs to space group Amm2 (No. 38); the cell edges are 4.654, 3.920 and 11.246 Å and the angles 90.00°, 90.00° and 90.00°. The distinct sites, in fractional coordinates, are La at (0.000, 0.000, 0.000), Sm at (0.500, 0.000, 0.277), Cu at (0.500, 0.000, 0.563) and Au at (0.000, 0.000, 0.717).

As for the calculated formation energy: -495 meV per atom. The total magnetization is 0.000 μB per atom. The energy above the most stable polymorph in this dataset comes out at 0 meV per atom.

---

No. 9
VASP calculation (PBE) on a relaxed structure of Pr3Cu2Pd6.

The structure belongs to space group Im-3m (No. 229); the cell edges are 9.613, 9.613 and 9.613 Å and the angles 90.00°, 90.00° and 90.00°. The distinct sites, in fractional coordinates, are Pr at (0.000, 0.000, 0.297), Cu at (0.250, 0.250, 0.250) and Pd at (0.000, 0.333, 0.333).

As for the calculated formation energy: -615 meV per atom. The total magnetization is 0.000 μB per atom.

---

No. 10
VASP calculation (PBE) on a relaxed structure of DyGa4Cu8.

The structure belongs to space group I4/mmm (No. 139); the cell edges are 8.584, 8.584 and 5.044 Å and the angles 90.00°, 90.00° and 90.00°. The distinct sites, in fractional coordinates, are Dy at (0.000, 0.000, 0.000), Ga at (0.250, 0.250, 0.250), Cu at (0.000, 0.217, 0.500) and Cu at (0.000, 0.354, 0.000).

As for the calculated formation energy: -175 meV per atom. The total magnetization is 0.000 μB per atom.

---

No. 11
VASP calculation (PBE) on a relaxed structure of Ac6PrY4.

The structure belongs to space group I-42m (No. 121); the cell edges are 7.471, 7.471 and 16.243 Å and the angles 90.00°, 90.00° and 90.00°. The distinct sites, in fractional coordinates, are Ac at (0.000, 0.500, 0.000), Ac at (0.198, 0.198, 0.317), Pr at (0.000, 0.000, 0.500) and Y at (0.157, 0.157, 0.097).

As for the calculated formation energy: 318 meV per atom. The total magnetization is 0.000 μB per atom.

---

No. 12
VASP calculation (PBE) on a relaxed structure of Nd2ThSe2S2.

The structure belongs to space group I4/mmm (No. 139); the cell edges are 5.328, 5.328 and 14.807 Å and the angles 90.00°, 90.00° and 90.00°. The distinct sites, in fractional coordinates, are Nd at (0.000, 0.000, 0.116), Th at (0.000, 0.000, 0.500), Se at (0.000, 0.000, 0.308) and S at (0.000, 0.500, 0.000).

The total magnetization is 0.000 μB per atom. The formation energy without anion corrections comes out at -1.4414 eV per atom.

---

No. 13
VASP calculation (PBE) on a relaxed structure of Pr4Cu3Ru.

The structure belongs to space group Pmm2 (No. 25); the cell edges are 3.962, 4.532 and 10.742 Å and the angles 90.00°, 90.00° and 90.00°. The distinct sites, in fractional coordinates, are Pr at (0.000, 0.000, 0.000), Pr at (0.000, 0.500, 0.270), Pr at (0.500, 0.000, 0.478), Pr at (0.500, 0.500, 0.771), Cu at (0.000, 0.000, 0.692), Cu at (0.000, 0.500, 0.564), Cu at (0.500, 0.500, 0.062) and Ru at (0.500, 0.000, 0.209).

As for the calculated formation energy: -170 meV per atom. The total magnetization is 0.000 μB per atom.

---

No. 14
VASP calculation (PBE) on a relaxed structure of Tl3Ru5.

The structure belongs to space group P6_3/mcm (No. 193); the cell edges are 8.3992, 8.3992 and 4.8726 Å and the angles 90.00°, 90.00° and 120.00°. The distinct sites, in fractional coordinates, are Tl at (0.0000, 0.3852, 0.2500), Ru at (0.0000, 0.1748, 0.7500) and Ru at (0.3333, 0.6667, 0.0000).

As for the calculated formation energy: 776 meV per atom. The total magnetization is 0.099 μB per atom. The energy above the most stable polymorph in this dataset comes out at 238 meV per atom.

---

No. 15
VASP calculation (PBE) on a relaxed structure of NpSbSe3.

The structure belongs to space group Ama2 (No. 40); the cell edges are 4.181, 23.861 and 5.907 Å and the angles 90.00°, 90.00° and 90.00°. The distinct sites, in fractional coordinates, are Np at (0.250, 0.188, 0.000), Sb at (0.250, 0.370, 0.881), Se at (0.250, 0.067, 0.250), Se at (0.250, 0.226, 0.513) and Se at (0.250, 0.385, 0.321).

The total magnetization is 0.787 μB per atom. The formation energy without anion corrections comes out at -0.6305 eV per atom.

---

No. 16
VASP calculation (PBE) on a relaxed structure of PrTmPb2.

The structure belongs to space group Pm (No. 6); the cell edges are 4.582, 4.506 and 6.338 Å and the angles 90.00°, 111.11° and 90.00°. The distinct sites, in fractional coordinates, are Pr at (0.000, 0.000, 0.000), Tm at (0.258, 0.500, 0.521), Pb at (0.532, 0.500, 0.063) and Pb at (0.728, 0.000, 0.461).

As for the calculated formation energy: -471 meV per atom. The total magnetization is 0.000 μB per atom.

---

No. 17
VASP calculation (PBE) on a relaxed structure of Te2AuCl.

The structure belongs to space group P1 (No. 1); the cell edges are 3.279, 8.594 and 8.909 Å and the angles 88.34°, 80.79° and 86.07°. The distinct sites, in fractional coordinates, are Te at (0.000, 0.000, 0.000), Te at (0.119, 0.066, 0.663), Te at (0.424, 0.565, 0.950), Te at (0.599, 0.510, 0.611), Au at (0.711, 0.815, 0.596), Au at (0.944, 0.311, 0.008), Cl at (0.751, 0.435, 0.336) and Cl at (0.907, 0.925, 0.280).

The total magnetization is 0.000 μB per atom. The formation energy without anion corrections comes out at -0.0854 eV per atom.

---

No. 18
VASP calculation (PBE) on a relaxed structure of CaAgAs2.

The structure belongs to space group P2/m (No. 10); the cell edges are 3.959, 4.188 and 5.800 Å and the angles 90.00°, 90.39° and 90.00°. The distinct sites, in fractional coordinates, are Ca at (0.000, 0.000, 0.000), Ag at (0.500, 0.000, 0.500) and As at (0.497, 0.500, 0.787).

As for the calculated formation energy: -466 meV per atom. The total magnetization is 0.000 μB per atom.

---

No. 19
VASP calculation (PBE) on a relaxed structure of Li2TmIn4.

The structure belongs to space group I4/mmm (No. 139); the cell edges are 5.770, 5.770 and 11.583 Å and the angles 90.00°, 90.00° and 90.00°. The distinct sites, in fractional coordinates, are Li at (0.000, 0.000, 0.132), Tm at (0.000, 0.000, 0.500), In at (0.000, 0.500, 0.000) and In at (0.000, 0.500, 0.250).

As for the calculated formation energy: 60 meV per atom. The total magnetization is 0.000 μB per atom.

---

No. 20
VASP calculation (PBE) on a relaxed structure of Ba2HgP2.

The structure belongs to space group I4/mmm (No. 139); the cell edges are 3.869, 3.869 and 20.003 Å and the angles 90.00°, 90.00° and 90.00°. The distinct sites, in fractional coordinates, are Ba at (0.000, 0.000, 0.121), Hg at (0.000, 0.000, 0.500) and P at (0.000, 0.500, 0.250).

As for the calculated formation energy: -380 meV per atom. The total magnetization is 0.055 μB per atom.

---

No. 21
VASP calculation (PBE) on a relaxed structure of HoScCuTc.

The structure belongs to space group F-43m (No. 216); the cell edges are 6.671, 6.671 and 6.671 Å and the angles 90.00°, 90.00° and 90.00°. The distinct sites, in fractional coordinates, are Ho at (0.000, 0.000, 0.000), Sc at (0.000, 0.000, 0.500), Cu at (0.250, 0.250, 0.250) and Tc at (0.250, 0.250, 0.750).

As for the calculated formation energy: -168 meV per atom. The total magnetization is 0.000 μB per atom.

---

No. 22
VASP calculation (PBE) on a relaxed structure of ErTmGa2Cu2.

The structure belongs to space group P-3m1 (No. 164); the cell edges are 4.3355, 4.3355 and 6.9365 Å and the angles 90.00°, 90.00° and 120.00°. The distinct sites, in fractional coordinates, are Er at (0.0000, 0.0000, 0.0000), Tm at (0.0000, 0.0000, 0.5000), Ga at (0.3333, 0.6667, 0.7479) and Cu at (0.3333, 0.6667, 0.2534).

As for the calculated formation energy: -509 meV per atom. The total magnetization is 0.000 μB per atom.

---

No. 23
VASP calculation (PBE) on a relaxed structure of TbErThTl.

The structure belongs to space group F-43m (No. 216); the cell edges are 7.730, 7.730 and 7.730 Å and the angles 90.00°, 90.00° and 90.00°. The distinct sites, in fractional coordinates, are Tb at (0.000, 0.000, 0.000), Er at (0.000, 0.000, 0.500), Th at (0.250, 0.250, 0.750) and Tl at (0.250, 0.250, 0.250).

As for the calculated formation energy: 72 meV per atom. The total magnetization is 0.011 μB per atom.